First-principles (PBE) data for an optimized crystal structure of MnGaFe4, as listed in Alexandria via LeMat-Bulk.

## Properties
- energy of formation (eV per atom) = -0.02
- space group = P-1
- magnetization (μB/f.u.) = 7.127
- calculated volume (Å³/atom) = 11.8
- ΔE to the lowest computed polymorph (meV/atom) = 0

```
MnGaFe4
1.0
-2.131 -4.317 -4.057
-3.041 -3.440 3.298
-0.889 6.269 0.874
Fe Ga Mn
8 2 2
Direct
0.278 0.831 0.991 Fe
0.978 0.417 0.512 Fe
0.623 0.003 0.007 Fe
0.972 0.919 0.509 Fe
0.272 0.333 0.988 Fe
0.627 0.747 0.493 Fe
0.958 0.675 0.003 Fe
0.292 0.075 0.497 Fe
0.624 0.503 0.009 Ga
0.626 0.247 0.491 Ga
0.972 0.161 0.015 Mn
0.278 0.589 0.485 Mn
```

---

First-principles (PBE) data for an optimized crystal structure of Mn3Ga4Fe, as listed in Alexandria via LeMat-Bulk.

## Properties
- energy of formation (eV per atom) = 0.00
- space group = P-1
- magnetization (μB/f.u.) = 10.412
- calculated volume (Å³/atom) = 13.9

```
Mn3Ga4Fe
1.0
-2.857 4.114 -1.571
0.584 -3.834 -3.507
-1.547 -4.537 3.518
Ga Mn Fe
4 3 1
Direct
0.500 0.000 0.000 Ga
0.245 0.248 0.492 Ga
0.755 0.752 0.508 Ga
0.000 0.500 0.000 Ga
0.250 0.750 0.500 Mn
0.500 0.500 0.000 Mn
0.750 0.250 0.500 Mn
0.000 0.000 0.000 Fe
```

---

First-principles (PBE) data for an optimized crystal structure of MnGaFe2N, as listed in Alexandria via LeMat-Bulk.

## Properties
- raw formation energy (eV per atom) = -0.2100
- space group = P4/mmm
- magnetization (μB/f.u.) = 3.821
- calculated volume (Å³/atom) = 10.8

```
MnGaFe2N
1.0
3.797 0.000 0.000
0.000 3.797 0.000
0.000 0.000 3.730
Fe N Ga Mn
2 1 1 1
Direct
0.500 0.000 0.000 Fe
0.000 0.500 0.000 Fe
0.000 0.000 0.000 N
0.500 0.500 0.500 Ga
0.000 0.000 0.500 Mn
```

---

First-principles (PBE) data for an optimized crystal structure of Mn2GaFeN, as listed in Alexandria via LeMat-Bulk.

## Properties
- raw formation energy (eV per atom) = -0.2476
- space group = P4/mmm
- magnetization (μB/f.u.) = 3.405
- calculated volume (Å³/atom) = 10.8

```
Mn2GaFeN
1.0
-0.141 -3.046 -2.217
3.767 -0.153 -0.029
-0.067 -2.225 3.061
Fe Mn N Ga
1 2 1 1
Direct
0.000 0.000 0.500 Fe
0.000 0.500 0.000 Mn
0.500 0.000 0.000 Mn
0.000 0.000 0.000 N
0.500 0.500 0.500 Ga
```

---

First-principles (PBE) data for an optimized crystal structure of MnNb2GaFe, as listed in Alexandria via LeMat-Bulk.

## Properties
- energy of formation (eV per atom) = 1.00
- space group = P4/mmm
- magnetization (μB/f.u.) = 0.000
- calculated volume (Å³/atom) = 17.9

```
MnNb2GaFe
1.0
4.494 0.000 0.000
0.000 4.437 0.000
0.000 0.000 4.494
Mn Nb Ga Fe
1 2 1 1
Direct
0.000 0.000 0.000 Mn
0.500 0.000 0.000 Nb
0.000 0.000 0.500 Nb
0.000 0.500 0.000 Ga
0.500 0.500 0.500 Fe
```

---

First-principles (PBE) data for an optimized crystal structure of MnNbGaFe, as listed in Alexandria via LeMat-Bulk.

## Properties
- energy of formation (eV per atom) = -0.18
- space group = F-43m
- magnetization (μB/f.u.) = 0.977
- calculated volume (Å³/atom) = 13.3

```
MnNbGaFe
1.0
4.217 0.000 0.000
2.108 3.652 0.000
2.108 1.217 3.443
Ga Nb Fe Mn
1 1 1 1
Direct
0.500 0.500 0.500 Ga
0.000 0.000 0.000 Nb
0.750 0.750 0.750 Fe
0.250 0.250 0.250 Mn
```

---

First-principles (PBE) data for an optimized crystal structure of Mn2Nb2GaFe5, as listed in Alexandria via LeMat-Bulk.

## Properties
- energy of formation (eV per atom) = 0.06
- space group = P4/mbm
- magnetization (μB/f.u.) = 3.355
- calculated volume (Å³/atom) = 13.0

```
Mn2Nb2GaFe5
1.0
3.758 0.000 0.000
0.000 8.330 0.000
0.000 0.000 8.330
Fe Ga Mn Nb
10 2 4 4
Direct
0.500 0.564 0.706 Fe
0.500 0.294 0.564 Fe
0.500 0.794 0.936 Fe
0.500 0.206 0.064 Fe
0.500 0.936 0.206 Fe
0.500 0.500 0.000 Fe
0.500 0.436 0.294 Fe
0.500 0.706 0.436 Fe
0.500 0.064 0.794 Fe
0.500 0.000 0.500 Fe
0.000 0.000 0.000 Ga
0.000 0.500 0.500 Ga
0.000 0.882 0.382 Mn
0.000 0.118 0.618 Mn
0.000 0.618 0.882 Mn
0.000 0.382 0.118 Mn
0.000 0.178 0.322 Nb
0.000 0.678 0.178 Nb
0.000 0.822 0.678 Nb
0.000 0.322 0.822 Nb
```

---

First-principles (PBE) data for an optimized crystal structure of Mn2Ga2FeNi7, as listed in Alexandria via LeMat-Bulk.

## Properties
- energy of formation (eV per atom) = -0.06
- space group = Cmmm
- magnetization (μB/f.u.) = 12.612
- calculated volume (Å³/atom) = 12.3

```
Mn2Ga2FeNi7
1.0
-2.605 2.461 0.442
-1.827 -2.272 2.131
0.978 4.294 11.584
Ni Mn Fe Ga
7 2 1 2
Direct
0.654 0.154 0.846 Ni
0.732 0.732 0.500 Ni
0.154 0.654 0.846 Ni
0.500 0.500 0.000 Ni
0.268 0.268 0.500 Ni
0.846 0.346 0.154 Ni
0.346 0.846 0.154 Ni
0.822 0.822 0.678 Mn
0.178 0.178 0.322 Mn
0.000 0.000 0.000 Fe
0.694 0.694 0.306 Ga
0.306 0.306 0.694 Ga
```

---

First-principles (PBE) data for an optimized crystal structure of NpMnGaFe, as listed in Alexandria via LeMat-Bulk.

## Properties
- energy of formation (eV per atom) = -0.01
- space group = F-43m
- magnetization (μB/f.u.) = 1.137
- calculated volume (Å³/atom) = 14.8

```
NpMnGaFe
1.0
4.375 0.000 0.000
2.188 3.789 0.000
2.188 1.263 3.572
Np Mn Fe Ga
1 1 1 1
Direct
0.750 0.750 0.750 Np
0.500 0.500 0.500 Mn
0.000 0.000 0.000 Fe
0.250 0.250 0.250 Ga
```

---

First-principles (PBE) data for an optimized crystal structure of PaMnGaFe, as listed in Alexandria via LeMat-Bulk.

## Properties
- energy of formation (eV per atom) = -0.13
- space group = F-43m
- magnetization (μB/f.u.) = 0.379
- calculated volume (Å³/atom) = 15.2

```
PaMnGaFe
1.0
-3.374 -2.841 -0.244
-0.339 -2.735 -3.452
0.713 -4.327 0.532
Fe Pa Mn Ga
1 1 1 1
Direct
0.000 0.000 0.000 Fe
0.750 0.750 0.750 Pa
0.500 0.500 0.500 Mn
0.250 0.250 0.250 Ga
```

---

First-principles (PBE) data for an optimized crystal structure of PuMnGaFe, as listed in Alexandria via LeMat-Bulk.

## Properties
- energy of formation (eV per atom) = -0.11
- space group = F-43m
- magnetization (μB/f.u.) = 1.798
- calculated volume (Å³/atom) = 15.0

```
PuMnGaFe
1.0
-1.627 4.062 0.398
-2.875 1.515 -2.957
-4.208 0.581 1.124
Fe Pu Ga Mn
1 1 1 1
Direct
0.750 0.750 0.750 Fe
0.500 0.500 0.500 Pu
0.000 0.000 0.000 Ga
0.250 0.250 0.250 Mn
```

---

First-principles (PBE) data for an optimized crystal structure of ScMnGaFe2, as listed in Alexandria via LeMat-Bulk.

## Properties
- energy of formation (eV per atom) = 0.50
- space group = P4/mmm
- magnetization (μB/f.u.) = 3.187
- calculated volume (Å³/atom) = 16.4

```
ScMnGaFe2
1.0
4.284 0.000 0.000
0.000 4.481 0.000
0.000 0.000 4.284
Fe Sc Ga Mn
2 1 1 1
Direct
0.000 0.000 0.500 Fe
0.500 0.000 0.000 Fe
0.500 0.500 0.500 Sc
0.000 0.500 0.000 Ga
0.000 0.000 0.000 Mn
```

---

Which formula does entry 12 have?
ScMnGaFe2